Below is a crystal of Zr2TlCl relaxed with PBEsol, with properties calculated at the SCAN level.

Results
The raw formation energy is -40.7 kJ per mole of atoms. The magnetic moment is 0.000 Bohr magnetons per cell. As for the energy above the most stable polymorph in this dataset: 92 meV/atom. The total DFT energy (no corrections) comes out at -143.4 eV/cell. The space-group type is No. 71.

Cell: 3.1529 5.7059 5.6630 Å, 119.70 90.00 106.04°
Element x y z (fractional)
Zr 0.7205 0.4411 0.7209
Zr 0.2795 0.5589 0.2791
Tl 0.5000 0.0000 0.0000
Cl 0.0000 0.0000 0.5000